Entry 1:
! PBE Tb3Sm3Th, optimized geometry; values from VASP
&SYSTEM
  ibrav = 0, nat = 14, ntyp = 3
/
ATOMIC_SPECIES
Tb 158.93 Tb.upf
Sm 150.36 Sm.upf
Th 232.04 Th.upf
CELL_PARAMETERS angstrom
4.366 2.521 7.243
-4.366 2.521 7.243
0.000 -5.042 7.243
ATOMIC_POSITIONS angstrom
Tb -3.317 0.758 8.502
Tb -2.315 -2.494 13.228
Tb 1.002 -3.252 8.502
Tb -1.002 3.252 13.228
Tb 2.315 2.494 8.502
Tb 3.317 -0.758 13.228
Sm -2.161 -2.031 9.782
Sm -2.839 0.856 11.948
Sm 0.678 -2.887 11.948
Sm -0.678 2.887 9.782
Sm 2.839 -0.856 9.782
Sm 2.161 2.031 11.948
Th 0.000 0.000 7.547
Th 0.000 0.000 14.183
! Energy of formation from the pure elements, eV per formula unit: 1.71
! Symmetry: R-3 (148)
! M_tot, μB/f.u.: 0.00
! Energy above the lowest structure with this stoichiometry, meV/atom: 197.7

=====

Entry 2:
! PBE Tb4Sm7Th, optimized geometry; values from VASP
&SYSTEM
  ibrav = 0, nat = 12, ntyp = 3
/
ATOMIC_SPECIES
Tb 158.93 Tb.upf
Sm 150.36 Sm.upf
Th 232.04 Th.upf
CELL_PARAMETERS angstrom
6.067 -3.015 0.000
6.067 3.015 0.000
-6.043 0.000 11.234
ATOMIC_POSITIONS angstrom
Tb -1.125 0.000 3.585
Tb 3.039 0.000 2.508
Tb 3.052 0.000 8.726
Tb 7.216 0.000 7.649
Sm 0.000 0.000 0.000
Sm -3.034 0.000 10.351
Sm -1.219 0.000 7.595
Sm 1.476 0.000 5.631
Sm 4.615 0.000 5.603
Sm 7.309 0.000 3.639
Sm 9.125 0.000 0.883
Th 6.067 0.000 0.000
! Energy of formation from the pure elements, eV per formula unit: 3.40
! Symmetry: C2/m (12)
! M_tot, μB/f.u.: 0.00
! Energy above the lowest structure with this stoichiometry, meV/atom: 268.5

=====

Entry 3:
! PBE Tb3Sm5Th2, optimized geometry; values from VASP
&SYSTEM
  ibrav = 0, nat = 20, ntyp = 3
/
ATOMIC_SPECIES
Tb 158.93 Tb.upf
Sm 150.36 Sm.upf
Th 232.04 Th.upf
CELL_PARAMETERS angstrom
5.446 -8.697 0.000
5.446 8.697 0.000
-5.436 0.000 7.182
ATOMIC_POSITIONS angstrom
Tb 1.369 8.130 5.387
Tb 1.366 2.150 3.306
Tb -1.352 -2.150 6.898
Tb 6.808 2.150 0.285
Tb 4.090 -2.150 3.876
Tb 4.087 -8.130 1.796
Sm -1.341 2.085 5.373
Sm 1.369 4.855 5.387
Sm 4.087 3.836 1.796
Sm 1.376 -2.085 1.782
Sm 4.087 0.527 1.796
Sm 1.369 -0.527 5.387
Sm 4.080 2.085 5.400
Sm 1.369 -3.836 5.387
Sm 4.087 -4.855 1.796
Sm 6.797 -2.085 1.809
Th 1.363 2.140 0.150
Th -1.355 -2.140 3.741
Th 6.810 2.140 3.441
Th 4.093 -2.140 7.032
! Energy of formation from the pure elements, eV per formula unit: 2.09
! Symmetry: C2/c (15)
! M_tot, μB/f.u.: 0.00

=====

Entry 4:
! PBE Tb12Sm7Th, optimized geometry; values from VASP
&SYSTEM
  ibrav = 0, nat = 20, ntyp = 3
/
ATOMIC_SPECIES
Tb 158.93 Tb.upf
Sm 150.36 Sm.upf
Th 232.04 Th.upf
CELL_PARAMETERS angstrom
-5.666 5.666 5.666
5.666 -5.666 5.666
5.666 5.666 -5.666
ATOMIC_POSITIONS angstrom
Tb 5.666 2.901 -2.901
Tb 5.666 -2.901 2.901
Tb 2.901 5.666 -2.901
Tb 2.765 2.765 0.000
Tb 2.765 0.000 2.765
Tb 2.901 -2.901 5.666
Tb 0.000 2.765 2.765
Tb 5.666 2.901 2.901
Tb -2.901 5.666 2.901
Tb -2.901 2.901 5.666
Tb 2.901 5.666 2.901
Tb 2.901 2.901 5.666
Sm 2.833 2.833 -2.833
Sm 2.833 -2.833 2.833
Sm 5.666 0.000 0.000
Sm -2.833 2.833 2.833
Sm 0.000 5.666 0.000
Sm 0.000 0.000 5.666
Sm 2.833 2.833 2.833
Th 0.000 0.000 0.000
! Energy of formation from the pure elements, eV per formula unit: 13.65
! Symmetry: Im-3m (229)
! M_tot, μB/f.u.: 0.00
! Energy above the lowest structure with this stoichiometry, meV/atom: 445.6

=====

Entry 5:
! PBE Tb12Sm5Th2, optimized geometry; values from VASP
&SYSTEM
  ibrav = 0, nat = 19, ntyp = 3
/
ATOMIC_SPECIES
Tb 158.93 Tb.upf
Sm 150.36 Sm.upf
Th 232.04 Th.upf
CELL_PARAMETERS angstrom
7.827 -4.687 0.000
7.827 4.687 0.000
-0.426 0.000 8.677
ATOMIC_POSITIONS angstrom
Tb 0.747 0.000 2.899
Tb 5.639 2.877 2.816
Tb 5.201 1.672 6.579
Tb 9.590 2.877 5.861
Tb 6.659 0.000 1.075
Tb 10.028 1.672 2.098
Tb 5.201 -1.672 6.579
Tb 8.570 0.000 7.602
Tb 5.639 -2.877 2.816
Tb 10.028 -1.672 2.098
Tb 9.590 -2.877 5.861
Tb 14.482 0.000 5.778
Sm 3.215 0.000 0.263
Sm 4.005 0.000 3.740
Sm 7.614 0.000 4.339
Sm 11.224 0.000 4.938
Sm 12.014 0.000 8.414
Th 7.827 3.090 0.000
Th 7.827 -3.090 0.000
! Energy of formation from the pure elements, eV per formula unit: 2.76
! Symmetry: C2/m (12)
! M_tot, μB/f.u.: 0.00
! Energy above the lowest structure with this stoichiometry, meV/atom: 59.7

=====

Entry 6:
! PBE Tb3Sm3Th, optimized geometry; values from VASP
&SYSTEM
  ibrav = 0, nat = 14, ntyp = 3
/
ATOMIC_SPECIES
Tb 158.93 Tb.upf
Sm 150.36 Sm.upf
Th 232.04 Th.upf
CELL_PARAMETERS angstrom
9.613 0.000 0.000
-4.807 8.325 0.000
0.000 0.000 5.809
ATOMIC_POSITIONS angstrom
Tb -3.386 6.780 1.452
Tb 0.628 2.003 1.452
Tb 2.049 0.457 4.357
Tb 2.758 7.868 1.452
Tb 4.179 6.323 4.357
Tb 8.193 1.545 4.357
Sm -2.027 5.125 4.357
Sm 1.382 4.007 4.357
Sm 4.161 0.807 1.452
Sm 0.645 7.519 4.357
Sm 3.424 4.318 1.452
Sm 6.834 3.201 1.452
Th 0.000 5.550 1.452
Th 4.807 2.775 4.357
! Energy of formation from the pure elements, eV per formula unit: 0.32
! Symmetry: P6_3/m (176)
! M_tot, μB/f.u.: 0.00
! Energy above the lowest structure with this stoichiometry, meV/atom: 0.0

=====

Entry 7:
! PBE Tb3Sm2Th, optimized geometry; values from VASP
&SYSTEM
  ibrav = 0, nat = 12, ntyp = 3
/
ATOMIC_SPECIES
Tb 158.93 Tb.upf
Sm 150.36 Sm.upf
Th 232.04 Th.upf
CELL_PARAMETERS angstrom
4.728 -6.608 0.000
4.728 6.608 0.000
0.000 0.000 6.472
ATOMIC_POSITIONS angstrom
Tb 4.728 5.454 3.236
Tb 3.004 2.467 4.659
Tb 6.451 2.467 4.659
Tb 3.004 -2.467 1.423
Tb 6.451 -2.467 1.423
Tb 4.728 -5.454 0.000
Sm 3.012 0.923 1.551
Sm 3.012 -0.923 4.788
Sm 6.443 0.923 1.551
Sm 6.443 -0.923 4.788
Th 4.728 4.373 0.118
Th 4.728 -4.373 3.354
! Energy of formation from the pure elements, eV per formula unit: 1.41
! Symmetry: Cmc2_1 (36)
! M_tot, μB/f.u.: 0.00
! Energy above the lowest structure with this stoichiometry, meV/atom: 129.0

=====

Entry 8:
! PBE Tb8Sm2Th3, optimized geometry; values from VASP
&SYSTEM
  ibrav = 0, nat = 13, ntyp = 3
/
ATOMIC_SPECIES
Tb 158.93 Tb.upf
Sm 150.36 Sm.upf
Th 232.04 Th.upf
CELL_PARAMETERS angstrom
10.088 -3.939 0.000
10.088 3.939 0.000
-0.006 0.000 5.585
ATOMIC_POSITIONS angstrom
Tb 7.945 2.325 5.581
Tb 3.366 0.000 2.800
Tb 12.225 2.325 0.004
Tb 7.533 0.000 2.794
Tb 12.637 0.000 2.791
Tb 7.945 -2.325 5.581
Tb 16.804 0.000 2.784
Tb 12.225 -2.325 0.004
Sm 5.255 0.000 0.009
Sm 14.915 0.000 5.575
Th 10.085 2.328 2.792
Th 10.088 0.000 0.000
Th 10.085 -2.328 2.792
! Energy of formation from the pure elements, eV per formula unit: 3.47
! Symmetry: C2/m (12)
! M_tot, μB/f.u.: 0.00